Material: La2PrEr7
Method: DFT, PBE
State: optimized geometry

```
data_La2PrEr7
_symmetry_space_group_name_H-M 'P -1'
_symmetry_Int_Tables_number 2
_cell_length_a 6.1884
_cell_length_b 7.1503
_cell_length_c 7.9939
_cell_angle_alpha 77.43
_cell_angle_beta 75.05
_cell_angle_gamma 73.44
loop_
_symmetry_equiv_pos_as_xyz
'x,y,z'
'-x,-y,-z'
loop_
_atom_site_label
_atom_site_type_symbol
_atom_site_fract_x
_atom_site_fract_y
_atom_site_fract_z
_atom_site_occupancy
La1 La 0.1997 0.2999 0.1004 1
Pr1 Pr 0.0000 0.0000 0.5000 1
Er1 Er 0.0000 0.5000 0.5000 1
Er2 Er 0.1987 0.7995 0.1021 1
Er3 Er 0.3983 0.1018 0.6968 1
Er4 Er 0.4004 0.6001 0.6972 1
```

**Formation energy**: 0.028 eV per atom
**Raw total energy**: -46.295 eV per cell

---

Material: TeAs2Br
Method: DFT, PBE
State: optimized geometry

```
data_TeAs2Br
_symmetry_space_group_name_H-M 'C m m m'
_symmetry_Int_Tables_number 65
_symmetry_space_group_name_Hall '-C 2 2'
_cell_length_a 3.6408
_cell_length_b 6.0556
_cell_length_c 8.9218
_cell_angle_alpha 90.00
_cell_angle_beta 90.00
_cell_angle_gamma 90.00
loop_
_atom_site_label
_atom_site_type_symbol
_atom_site_fract_x
_atom_site_fract_y
_atom_site_fract_z
_atom_site_occupancy
Te1 Te 0.0000 0.0000 0.0000 1
As1 As 0.0000 0.5000 0.2462 1
Br1 Br 0.0000 0.0000 0.5000 1
```

**Relative energy among the computed polymorphs**: 476 meV/atom
**Raw total energy**: -24.744 eV per cell

---

Material: AcY2Al6
Method: DFT, PBE
State: optimized geometry

```
data_AcY2Al6
_symmetry_space_group_name_H-M 'P 6/m m m'
_symmetry_Int_Tables_number 191
_symmetry_space_group_name_Hall '-P 6 2'
_cell_length_a 7.9445
_cell_length_b 7.9445
_cell_length_c 3.8196
_cell_angle_alpha 90.00
_cell_angle_beta 90.00
_cell_angle_gamma 120.00
loop_
_atom_site_label
_atom_site_type_symbol
_atom_site_fract_x
_atom_site_fract_y
_atom_site_fract_z
_atom_site_occupancy
Ac1 Ac 0.0000 0.0000 0.0000 1
Y1 Y 0.3333 0.6667 0.0000 1
Al1 Al 0.0000 0.3384 0.5000 1
```

**Relative energy among the computed polymorphs**: 0 meV/atom
**Formation energy**: -0.403 eV per atom
**Raw total energy**: -43.119 eV per cell

---

Material: KRb2Tl5Cd2
Method: DFT, PBE
State: optimized geometry

```
data_KRb2Tl5Cd2
_symmetry_space_group_name_H-M 'P 4/m b m'
_symmetry_Int_Tables_number 127
_symmetry_space_group_name_Hall '-P 4 2ab'
_cell_length_a 12.4497
_cell_length_b 12.4497
_cell_length_c 4.6548
_cell_angle_alpha 90.00
_cell_angle_beta 90.00
_cell_angle_gamma 90.00
loop_
_atom_site_label
_atom_site_type_symbol
_atom_site_fract_x
_atom_site_fract_y
_atom_site_fract_z
_atom_site_occupancy
K1 K 0.0000 0.0000 0.0000 1
Rb1 Rb 0.1774 0.3226 0.0000 1
Tl1 Tl 0.0000 0.5000 0.5000 1
Tl2 Tl 0.0619 0.7830 0.5000 1
Cd1 Cd 0.1213 0.6213 0.0000 1
```

**Formation energy**: -0.047 eV per atom
**Raw total energy**: -34.332 eV per cell

---

Short version: mass density = 8.157, 6.033, 4.507, 6.706 g cm⁻³, in the order given.